[1]
A crystal of SrTa2P relaxed with PBEsol, computed with meta-GGA SCAN.

CIF file:
```
data_SrTa2P
_chemical_formula_sum 'Sr1 Ta2 P1'
_symmetry_space_group_name_H-M 'P 1'
_symmetry_Int_Tables_number 1
_cell_length_a 4.139
_cell_length_b 6.501
_cell_length_c 6.501
_cell_angle_alpha 31.06
_cell_angle_beta 90.00
_cell_angle_gamma 90.00
loop_
_symmetry_equiv_pos_as_xyz
'x,y,z'
loop_
_atom_site_label
_atom_site_fract_x
_atom_site_fract_y
_atom_site_fract_z
Sr1 0.000 0.000 0.000
Ta1 0.000 0.262 0.262
Ta2 0.500 0.736 0.736
P1 0.500 0.385 0.385
```

ρ (g/cm³): 8.8
N(E_F) (states/eV/atom): 0.57
VASP energy (eV per atom): -41.621
Space group: No. 38
Formation enthalpy at 0 K (eV/atom): -0.16

[2]
A crystal of K4Cd relaxed with PBEsol, computed with meta-GGA SCAN.

CIF file:
```
data_K4Cd
_chemical_formula_sum 'K4 Cd1'
_symmetry_space_group_name_H-M 'P 1'
_symmetry_Int_Tables_number 1
_cell_length_a 7.271
_cell_length_b 7.271
_cell_length_c 7.271
_cell_angle_alpha 109.47
_cell_angle_beta 109.47
_cell_angle_gamma 109.47
loop_
_symmetry_equiv_pos_as_xyz
'x,y,z'
loop_
_atom_site_label
_atom_site_fract_x
_atom_site_fract_y
_atom_site_fract_z
K1 0.000 0.000 0.500
K2 0.000 0.500 0.000
K3 0.500 0.000 0.000
K4 0.500 0.500 0.500
Cd1 0.000 0.000 0.000
```

ρ (g/cm³): 1.5
N(E_F) (states/eV/atom): 0.71
VASP energy (eV per atom): -12.704
Space group: No. 229
Formation enthalpy at 0 K (eV/atom): 0.04

[3]
A crystal of CsRuN2 relaxed with PBEsol, computed with meta-GGA SCAN.

CIF file:
```
data_CsRuN2
_chemical_formula_sum 'Cs2 Ru2 N4'
_symmetry_space_group_name_H-M 'P 1'
_symmetry_Int_Tables_number 1
_cell_length_a 5.958
_cell_length_b 5.958
_cell_length_c 5.958
_cell_angle_alpha 119.28
_cell_angle_beta 119.28
_cell_angle_gamma 91.25
loop_
_symmetry_equiv_pos_as_xyz
'x,y,z'
loop_
_atom_site_label
_atom_site_fract_x
_atom_site_fract_y
_atom_site_fract_z
Cs1 0.000 0.000 0.000
Cs2 0.750 0.250 0.500
Ru1 0.250 0.750 0.500
Ru2 0.500 0.500 0.000
N1 0.335 0.125 0.710
N2 0.375 0.665 0.790
N3 0.415 0.625 0.290
N4 0.875 0.585 0.210
```

ρ (g/cm³): 5.8
N(E_F) (states/eV/atom): 0.35
VASP energy (eV per atom): -22.815
Space group: No. 122

[4]
A crystal of BeCr3Sb relaxed with PBEsol, computed with meta-GGA SCAN.

CIF file:
```
data_BeCr3Sb
_chemical_formula_sum 'Be1 Cr3 Sb1'
_symmetry_space_group_name_H-M 'P 1'
_symmetry_Int_Tables_number 1
_cell_length_a 4.091
_cell_length_b 4.091
_cell_length_c 4.091
_cell_angle_alpha 90.00
_cell_angle_beta 90.00
_cell_angle_gamma 90.00
loop_
_symmetry_equiv_pos_as_xyz
'x,y,z'
loop_
_atom_site_label
_atom_site_fract_x
_atom_site_fract_y
_atom_site_fract_z
Be1 0.000 0.000 0.000
Cr1 0.000 0.000 0.500
Cr2 0.000 0.500 0.000
Cr3 0.500 0.000 0.000
Sb1 0.500 0.500 0.500
```

ρ (g/cm³): 7.0
N(E_F) (states/eV/atom): 0.38
Polymorph energy (0 for the lowest one) (meV per atom): 0.0
VASP energy (eV per atom): -18.905
Space group: No. 221

> The highest ρ belongs to which entry?

SrTa2P

> Number 1 is which compound?

SrTa2P

What did the fourth record say?
A crystal of BeCr3Sb relaxed with PBEsol, computed with meta-GGA SCAN.

CIF file:
```
data_BeCr3Sb
_chemical_formula_sum 'Be1 Cr3 Sb1'
_symmetry_space_group_name_H-M 'P 1'
_symmetry_Int_Tables_number 1
_cell_length_a 4.091
_cell_length_b 4.091
_cell_length_c 4.091
_cell_angle_alpha 90.00
_cell_angle_beta 90.00
_cell_angle_gamma 90.00
loop_
_symmetry_equiv_pos_as_xyz
'x,y,z'
loop_
_atom_site_label
_atom_site_fract_x
_atom_site_fract_y
_atom_site_fract_z
Be1 0.000 0.000 0.000
Cr1 0.000 0.000 0.500
Cr2 0.000 0.500 0.000
Cr3 0.500 0.000 0.000
Sb1 0.500 0.500 0.500
```

ρ (g/cm³): 7.0
N(E_F) (states/eV/atom): 0.38
Polymorph energy (0 for the lowest one) (meV per atom): 0.0
VASP energy (eV per atom): -18.905
Space group: No. 221